The following is a PBE calculation of a relaxed TbPr5YEr2 crystal, from the Alexandria database.

Cell lengths 10.7231, 10.7231, 10.7416 Å; angles 90.00, 90.00, 149.38 degrees
Element x y z (fractional)
Tb: 0.1995 0.8005 0.5000
Tb: 0.8005 0.1995 0.0000
Pr: 0.0141 0.9859 0.5049
Pr: 0.2788 0.7212 0.8021
Pr: 0.2955 0.7045 0.1962
Pr: 0.3838 0.6162 0.5102
Pr: 0.4844 0.5156 0.2345
Pr: 0.5156 0.4844 0.7345
Pr: 0.6162 0.3838 0.0102
Pr: 0.7045 0.2955 0.6962
Pr: 0.7212 0.2788 0.3021
Pr: 0.9859 0.0141 0.0049
Y: 0.4062 0.5938 0.9545
Y: 0.5938 0.4062 0.4545
Er: 0.1129 0.8871 0.2296
Er: 0.1144 0.8856 0.7935
Er: 0.8856 0.1144 0.2935
Er: 0.8871 0.1129 0.7296

As for the formation energy: 1.319 eV per formula unit. The density of states at the Fermi level comes out at 1.64 states/eV/atom.

The following is a PBE calculation of a relaxed Pr5RuBr5 crystal, from the Alexandria database.

Cell lengths 7.2318, 7.2318, 8.9804 Å; angles 107.54, 107.54, 49.41 degrees
Element x y z (fractional)
Pr: 0.0000 0.0000 0.0000
Pr: 0.3302 0.3302 0.1323
Pr: 0.3546 0.3546 0.7122
Pr: 0.6454 0.6454 0.2878
Pr: 0.6698 0.6698 0.8677
Ru: 0.5000 0.5000 0.0000
Br: 0.1424 0.1424 0.7830
Br: 0.1718 0.1718 0.3581
Br: 0.5000 0.5000 0.5000
Br: 0.8282 0.8282 0.6419
Br: 0.8576 0.8576 0.2170

The density of states at the Fermi level comes out at 0.82 states/eV/atom. Its total energy is -4.95 eV/atom.